No. 1
Pr3Y2Se6 | PBE | optimized geometry

Cell: 4.2010 4.2010 62.4584 Å, 90.00 90.00 120.00°
Space group R-3m (No. 166, hexagonal axes)
Asymmetric unit:
Pr  0.0000  0.0000  0.0000 (multiplicity 3)
Pr  0.0000  0.0000  0.2772 (multiplicity 6)
Y  0.0000  0.0000  0.4486 (multiplicity 6)
Se  0.0000  0.0000  0.0859 (multiplicity 6)
Se  0.0000  0.0000  0.1964 (multiplicity 6)
Se  0.0000  0.0000  0.3617 (multiplicity 6)

Calculated values
Formation energy from raw total energies = -1.826 eV per atom
E = -68.26 eV per formula unit

No. 2
Pr2Y3Se8 | PBE | optimized geometry

Cell: 14.540 8.357 7.086 Å, 90.00 109.45 90.00°
Space group C2/m (No. 12)
Asymmetric unit:
Pr  0.239  0.000  0.162 (multiplicity 4)
Y  0.000  0.239  0.500 (multiplicity 4)
Y  0.000  0.500  0.000 (multiplicity 2)
Se  0.115  0.500  0.420 (multiplicity 4)
Se  0.119  0.264  0.911 (multiplicity 8)
Se  0.122  0.000  0.429 (multiplicity 4)

Calculated values
Formation energy from raw total energies = -1.737 eV per atom
E = -79.40 eV per formula unit

No. 3
Pr3Y5Se8 | PBE | optimized geometry

Cell: 8.2597 8.2597 20.6239 Å, 90.00 90.00 120.00°
Space group R-3m (No. 166, hexagonal axes)
Asymmetric unit:
Pr  0.0000  0.5000  0.0000 (multiplicity 9)
Y  0.0000  0.0000  0.0000 (multiplicity 3)
Y  0.0000  0.0000  0.5000 (multiplicity 3)
Y  0.0000  0.5000  0.5000 (multiplicity 9)
Se  0.0000  0.0000  0.2444 (multiplicity 6)
Se  0.0071  0.5035  0.7538 (multiplicity 18)

Calculated values
Formation energy from raw total energies = -1.791 eV per atom
E = -103.18 eV per formula unit

No. 4
Pr6YSe8 | PBE | optimized geometry

Cell: 12.004 12.004 12.004 Å, 90.00 90.00 90.00°
Space group Fm-3m (No. 225)
Asymmetric unit:
Pr  0.000  0.250  0.250 (multiplicity 24)
Y  0.000  0.000  0.000 (multiplicity 4)
Se  0.000  0.000  0.245 (multiplicity 24)
Se  0.250  0.250  0.250 (multiplicity 8)

Calculated values
Formation energy from raw total energies = -1.878 eV per atom
E = -91.18 eV per formula unit

No. 5
Pr2Y3Se4 | PBE | optimized geometry

Cell: 13.562 4.064 10.078 Å, 90.00 118.58 90.00°
Space group C2/m (No. 12)
Asymmetric unit:
Pr  0.095  0.000  0.407 (multiplicity 4)
Y  0.000  0.500  0.000 (multiplicity 2)
Y  0.203  0.500  0.799 (multiplicity 4)
Se  0.105  0.000  0.907 (multiplicity 4)
Se  0.196  0.500  0.293 (multiplicity 4)

Calculated values
Formation energy from raw total energies = -1.575 eV per atom
E = -57.06 eV per formula unit

No. 6
Pr2Y2Se3 | PBE | optimized geometry

Cell: 4.041 7.093 7.215 Å, 98.78 90.01 106.49°
Space group P-1 (No. 2)
Asymmetric unit:
Pr  0.121  0.239  0.387 (multiplicity 2)
Y  0.373  0.746  0.118 (multiplicity 2)
Se  0.000  0.000  0.000 (multiplicity 1)
Se  0.251  0.503  0.761 (multiplicity 2)

Calculated values
Formation energy from raw total energies = -1.527 eV per atom
E = -43.63 eV per formula unit